Entry 1:
SnRh3S | PBE | optimized geometry

a = 4.8728 Å, b = 4.8728 Å, c = 4.8728 Å
α = 90.00°, β = 90.00°, γ = 90.00°
Last column: magnetic moment on the atom in μB.
Atoms (fractional coordinates):
S: 0.5000 0.5000 0.5000  0.26
Rh: 0.0000 0.5000 0.0000  0.88
Rh: 0.0000 0.0000 0.5000  0.67
Rh: 0.5000 0.0000 0.0000  0.65
Sn: 0.0000 0.0000 0.0000  -0.03

Computed properties:
For the final energy, the calculation gives -4.662 eV/atom. Its space group is Pm-3m. Its energy relative to the lowest polymorph listed for this composition is 1.685 eV per atom. The raw formation energy is 1.3749 eV/atom.

=====

Entry 2:
V3HN | PBE | optimized geometry

a = 3.8601 Å, b = 3.8601 Å, c = 3.8601 Å
α = 90.00°, β = 90.00°, γ = 90.00°
Atoms (fractional coordinates):
H: 0.5000 0.5000 0.5000
V: 0.0000 0.5000 0.0000
V: 0.0000 0.0000 0.5000
V: 0.5000 0.0000 0.0000
N: 0.0000 0.0000 0.0000

Computed properties:
For the final energy, the calculation gives -7.682 eV/atom. Its space group is Pm-3m. Its energy relative to the lowest polymorph listed for this composition is 0.555 eV per atom.

=====

Entry 3:
TcP2Au | PBE | optimized geometry

a = 6.1831 Å, b = 6.1831 Å, c = 6.1831 Å
α = 153.55°, β = 134.23°, γ = 53.64°
Atoms (fractional coordinates):
Au: 0.7500 0.2500 0.5000
P: 0.0779 0.0779 0.0000
P: 0.4221 0.4221 0.0000
Tc: 0.2500 0.7500 0.5000

Computed properties:
For the final energy, the calculation gives -5.840 eV/atom. Its space group is Immm. The formation energy comes out at 106 kJ/mol of formula units. Its energy relative to the lowest polymorph listed for this composition is 0.428 eV per atom.

=====

Entry 4:
Ba3PmAg2O6 | PBE | optimized geometry

a = 6.4028 Å, b = 6.4028 Å, c = 6.9053 Å
α = 90.00°, β = 90.00°, γ = 120.00°
Last column: magnetic moment on the atom in μB.
Atoms (fractional coordinates):
Ba: 0.3333 0.6667 0.6097  0.00
Ba: 0.6667 0.3333 0.3903  0.00
Ba: 0.0000 0.0000 0.0000  0.00
Pm: 0.0000 0.0000 0.5000  0.01
Ag: 0.6667 0.3333 0.8674  0.07
Ag: 0.3333 0.6667 0.1326  0.07
O: 0.6680 0.8340 0.3021  0.07
O: 0.1660 0.3320 0.3021  0.07
O: 0.1660 0.8340 0.3021  0.07
O: 0.8340 0.6680 0.6979  0.07
O: 0.3320 0.1660 0.6979  0.07
O: 0.8340 0.1660 0.6979  0.07

Computed properties:
For the final energy, the calculation gives -5.606 eV/atom. Its space group is P-3m1. The raw formation energy is -1.7755 eV/atom.